Below is a crystal of KAsHBr2 relaxed with PBEsol, with properties calculated at the meta-GGA SCAN level.

Lattice parameters (Å, degrees): 6.1158 6.1158 6.8826 90.00 90.00 90.00
Element x y z (fractional)
1 K 0.0000 0.0000 0.0000
2 As 0.0000 0.0000 0.5000
3 H 0.5000 0.5000 0.5000
4 Br 0.0000 0.5000 0.0000
5 Br 0.5000 0.0000 0.0000

Results
Total DFT energy (no corrections) ... -13.575 eV/atom
DOS at the Fermi energy ... 7.41 states/eV/f.u.